VASP calculation (PBE-GGA) on a relaxed MnHSe2Br crystal.

Calculated values
density = 4.99 g/cm³
symmetry = P4/mmm (123)
relative energy among the computed polymorphs = 0 meV per atom

```
data_MnHSe2Br
_chemical_formula_sum 'Mn1 H1 Se2 Br1'
_space_group_name_H-M_alt 'P 1'
_space_group_IT_number 1
_space_group_name_Hall 'P 1'
_cell_length_a 3.9779
_cell_length_b 3.9779
_cell_length_c 6.1829
_cell_angle_alpha 90.00
_cell_angle_beta 90.00
_cell_angle_gamma 90.00
loop_
_atom_site_label
_atom_site_type_symbol
_atom_site_fract_x
_atom_site_fract_y
_atom_site_fract_z
_atom_site_occupancy
Mn1 Mn 0.0000 0.0000 0.0000 1
H1 H 0.5000 0.5000 0.5000 1
Se1 Se 0.0000 0.5000 0.5000 1
Se2 Se 0.5000 0.0000 0.5000 1
Br1 Br 0.5000 0.5000 0.0000 1
```


VASP calculation (PBE-GGA) on a relaxed MnHSe2Br crystal.

Calculated values
density = 4.50 g/cm³
symmetry = P4/mmm (123)
relative energy among the computed polymorphs = 354 meV per atom

```
data_MnHSe2Br
_chemical_formula_sum 'Mn1 H1 Se2 Br1'
_space_group_name_H-M_alt 'P 1'
_space_group_IT_number 1
_space_group_name_Hall 'P 1'
_cell_length_a 4.5174
_cell_length_b 4.5174
_cell_length_c 5.3152
_cell_angle_alpha 90.00
_cell_angle_beta 90.00
_cell_angle_gamma 90.00
loop_
_atom_site_label
_atom_site_type_symbol
_atom_site_fract_x
_atom_site_fract_y
_atom_site_fract_z
_atom_site_occupancy
Mn1 Mn 0.0000 0.0000 0.0000 1
H1 H 0.5000 0.5000 0.5000 1
Se1 Se 0.0000 0.5000 0.0000 1
Se2 Se 0.5000 0.0000 0.0000 1
Br1 Br 0.0000 0.0000 0.5000 1
```


VASP calculation (PBE-GGA) on a relaxed MnHSeBr2 crystal.

Calculated values
density = 4.27 g/cm³
symmetry = P4/mmm (123)
relative energy among the computed polymorphs = 206 meV per atom

```
data_MnHSeBr2
_chemical_formula_sum 'Mn1 H1 Se1 Br2'
_space_group_name_H-M_alt 'P 1'
_space_group_IT_number 1
_space_group_name_Hall 'P 1'
_cell_length_a 5.0705
_cell_length_b 5.0705
_cell_length_c 4.4547
_cell_angle_alpha 90.00
_cell_angle_beta 90.00
_cell_angle_gamma 90.00
loop_
_atom_site_label
_atom_site_type_symbol
_atom_site_fract_x
_atom_site_fract_y
_atom_site_fract_z
_atom_site_occupancy
Mn1 Mn 0.0000 0.0000 0.0000 1
H1 H 0.5000 0.5000 0.5000 1
Se1 Se 0.0000 0.0000 0.5000 1
Br1 Br 0.0000 0.5000 0.0000 1
Br2 Br 0.5000 0.0000 0.0000 1
```


VASP calculation (PBE-GGA) on a relaxed MnHSeBr2 crystal.

Calculated values
density = 4.89 g/cm³
symmetry = P4/mmm (123)
relative energy among the computed polymorphs = 0 meV per atom

```
data_MnHSeBr2
_chemical_formula_sum 'Mn1 H1 Se1 Br2'
_space_group_name_H-M_alt 'P 1'
_space_group_IT_number 1
_space_group_name_Hall 'P 1'
_cell_length_a 5.3207
_cell_length_b 5.3207
_cell_length_c 3.5384
_cell_angle_alpha 90.00
_cell_angle_beta 90.00
_cell_angle_gamma 90.00
loop_
_atom_site_label
_atom_site_type_symbol
_atom_site_fract_x
_atom_site_fract_y
_atom_site_fract_z
_atom_site_occupancy
Mn1 Mn 0.0000 0.0000 0.0000 1
H1 H 0.5000 0.5000 0.5000 1
Se1 Se 0.5000 0.5000 0.0000 1
Br1 Br 0.0000 0.5000 0.5000 1
Br2 Br 0.5000 0.0000 0.5000 1
```


VASP calculation (PBE-GGA) on a relaxed TaMnHBr2 crystal.

Calculated values
density = 9.20 g/cm³
total DFT energy (no corrections) = -4.5545 eV/atom
symmetry = P4/mmm (123)

```
data_TaMnHBr2
_chemical_formula_sum 'Ta1 Mn1 H1 Br2'
_space_group_name_H-M_alt 'P 1'
_space_group_IT_number 1
_space_group_name_Hall 'P 1'
_cell_length_a 4.6944
_cell_length_b 4.6944
_cell_length_c 3.2502
_cell_angle_alpha 90.00
_cell_angle_beta 90.00
_cell_angle_gamma 90.00
loop_
_atom_site_label
_atom_site_type_symbol
_atom_site_fract_x
_atom_site_fract_y
_atom_site_fract_z
_atom_site_occupancy
Ta1 Ta 0.0000 0.0000 0.0000 1
Mn1 Mn 0.5000 0.5000 0.0000 1
H1 H 0.5000 0.5000 0.5000 1
Br1 Br 0.0000 0.5000 0.5000 1
Br2 Br 0.5000 0.0000 0.5000 1
```


VASP calculation (PBE-GGA) on a relaxed ZrMn2HBr crystal.

Calculated values
density = 3.21 g/cm³
total DFT energy (no corrections) = -5.1398 eV/atom
symmetry = P4/mmm (123)

```
data_ZrMn2HBr
_chemical_formula_sum 'Zr1 Mn2 H1 Br1'
_space_group_name_H-M_alt 'P 1'
_space_group_IT_number 1
_space_group_name_Hall 'P 1'
_cell_length_a 5.3106
_cell_length_b 5.3106
_cell_length_c 5.1764
_cell_angle_alpha 90.00
_cell_angle_beta 90.00
_cell_angle_gamma 90.00
loop_
_atom_site_label
_atom_site_type_symbol
_atom_site_fract_x
_atom_site_fract_y
_atom_site_fract_z
_atom_site_occupancy
Zr1 Zr 0.0000 0.0000 0.0000 1
Mn1 Mn 0.0000 0.5000 0.0000 1
Mn2 Mn 0.5000 0.0000 0.0000 1
H1 H 0.5000 0.5000 0.5000 1
Br1 Br 0.0000 0.0000 0.5000 1
```


VASP calculation (PBE-GGA) on a relaxed MoH12Br6 crystal.

Calculated values
density = 2.63 g/cm³
total DFT energy (no corrections) = -3.3530 eV/atom
symmetry = R-3 (148)

```
data_MoH12Br6
_chemical_formula_sum 'Mo1 H12 Br6'
_space_group_name_H-M_alt 'P 1'
_space_group_IT_number 1
_space_group_name_Hall 'P 1'
_cell_length_a 7.5437
_cell_length_b 7.5437
_cell_length_c 7.5437
_cell_angle_alpha 70.70
_cell_angle_beta 70.70
_cell_angle_gamma 70.70
loop_
_atom_site_label
_atom_site_type_symbol
_atom_site_fract_x
_atom_site_fract_y
_atom_site_fract_z
_atom_site_occupancy
Mo1 Mo 0.0000 0.0000 0.0000 1
H1 H 0.0469 0.3139 0.4117 1
H2 H 0.0954 0.3864 0.4114 1
H3 H 0.3139 0.4117 0.0469 1
H4 H 0.3864 0.4114 0.0954 1
H5 H 0.4114 0.0954 0.3864 1
H6 H 0.4117 0.0469 0.3139 1
H7 H 0.5883 0.9531 0.6861 1
H8 H 0.5886 0.9046 0.6136 1
H9 H 0.6136 0.5886 0.9046 1
H10 H 0.6861 0.5883 0.9531 1
H11 H 0.9046 0.6136 0.5886 1
H12 H 0.9531 0.6861 0.5883 1
Br1 Br 0.1819 0.8008 0.7624 1
Br2 Br 0.1992 0.2376 0.8181 1
Br3 Br 0.2376 0.8181 0.1992 1
Br4 Br 0.7624 0.1819 0.8008 1
Br5 Br 0.8008 0.7624 0.1819 1
Br6 Br 0.8181 0.1992 0.2376 1
```


VASP calculation (PBE-GGA) on a relaxed MoHBr2 crystal.

Calculated values
density = 5.52 g/cm³
total DFT energy (no corrections) = -3.8462 eV/atom
symmetry = R-3m (166)

```
data_MoHBr2
_chemical_formula_sum 'Mo3 H3 Br6'
_space_group_name_H-M_alt 'P 1'
_space_group_IT_number 1
_space_group_name_Hall 'P 1'
_cell_length_a 3.3890
_cell_length_b 3.3890
_cell_length_c 23.2909
_cell_angle_alpha 90.00
_cell_angle_beta 90.00
_cell_angle_gamma 120.00
loop_
_atom_site_label
_atom_site_type_symbol
_atom_site_fract_x
_atom_site_fract_y
_atom_site_fract_z
_atom_site_occupancy
Mo1 Mo 0.0000 0.0000 0.0000 1
Mo2 Mo 0.3333 0.6667 0.6667 1
Mo3 Mo 0.6667 0.3333 0.3333 1
H1 H 0.0000 0.0000 0.5000 1
H2 H 0.3333 0.6667 0.1667 1
H3 H 0.6667 0.3333 0.8333 1
Br1 Br 0.0000 0.0000 0.4101 1
Br2 Br 0.0000 0.0000 0.5899 1
Br3 Br 0.3333 0.6667 0.0768 1
Br4 Br 0.3333 0.6667 0.2566 1
Br5 Br 0.6667 0.3333 0.7434 1
Br6 Br 0.6667 0.3333 0.9232 1
```


VASP calculation (PBE-GGA) on a relaxed MoH2Br8 crystal.

Calculated values
density = 3.22 g/cm³
total DFT energy (no corrections) = -3.1281 eV/atom
symmetry = C2/m (12)

```
data_MoH2Br8
_chemical_formula_sum 'Mo1 H2 Br8'
_space_group_name_H-M_alt 'P 1'
_space_group_IT_number 1
_space_group_name_Hall 'P 1'
_cell_length_a 7.1135
_cell_length_b 7.1135
_cell_length_c 9.7600
_cell_angle_alpha 116.18
_cell_angle_beta 116.18
_cell_angle_gamma 64.66
loop_
_atom_site_label
_atom_site_type_symbol
_atom_site_fract_x
_atom_site_fract_y
_atom_site_fract_z
_atom_site_occupancy
Mo1 Mo 0.0000 0.0000 0.0000 1
H1 H 0.2221 0.2221 0.4566 1
H2 H 0.7779 0.7779 0.5434 1
Br1 Br 0.0073 0.0073 0.7468 1
Br2 Br 0.0585 0.6002 0.8844 1
Br3 Br 0.3637 0.3637 0.5575 1
Br4 Br 0.3998 0.9415 0.1156 1
Br5 Br 0.6002 0.0585 0.8844 1
Br6 Br 0.6363 0.6363 0.4425 1
Br7 Br 0.9415 0.3998 0.1156 1
Br8 Br 0.9927 0.9927 0.2532 1
```


VASP calculation (PBE-GGA) on a relaxed MoH2Br crystal.

Calculated values
density = 6.30 g/cm³
symmetry = I-42d (122)
relative energy among the computed polymorphs = 0 meV per atom

```
data_MoH2Br
_chemical_formula_sum 'Mo4 H8 Br4'
_space_group_name_H-M_alt 'P 1'
_space_group_IT_number 1
_space_group_name_Hall 'P 1'
_cell_length_a 5.8412
_cell_length_b 5.8412
_cell_length_c 5.4954
_cell_angle_alpha 90.00
_cell_angle_beta 90.00
_cell_angle_gamma 90.00
loop_
_atom_site_label
_atom_site_type_symbol
_atom_site_fract_x
_atom_site_fract_y
_atom_site_fract_z
_atom_site_occupancy
Mo1 Mo 0.0000 0.0000 0.0000 1
Mo2 Mo 0.0000 0.5000 0.2500 1
Mo3 Mo 0.5000 0.0000 0.7500 1
Mo4 Mo 0.5000 0.5000 0.5000 1
H1 H 0.1390 0.2500 0.1250 1
H2 H 0.2500 0.6390 0.3750 1
H3 H 0.2500 0.8610 0.8750 1
H4 H 0.3610 0.2500 0.6250 1
H5 H 0.6390 0.7500 0.6250 1
H6 H 0.7500 0.1390 0.8750 1
H7 H 0.7500 0.3610 0.3750 1
H8 H 0.8610 0.7500 0.1250 1
Br1 Br 0.0000 0.0000 0.5000 1
Br2 Br 0.0000 0.5000 0.7500 1
Br3 Br 0.5000 0.0000 0.2500 1
Br4 Br 0.5000 0.5000 0.0000 1
```


VASP calculation (PBE-GGA) on a relaxed MoH2Br6 crystal.

Calculated values
density = 3.14 g/cm³
total DFT energy (no corrections) = -3.4100 eV/atom
symmetry = P-1 (2)

```
data_MoH2Br6
_chemical_formula_sum 'Mo2 H4 Br12'
_space_group_name_H-M_alt 'P 1'
_space_group_IT_number 1
_space_group_name_Hall 'P 1'
_cell_length_a 7.6692
_cell_length_b 8.7104
_cell_length_c 10.3562
_cell_angle_alpha 79.62
_cell_angle_beta 79.32
_cell_angle_gamma 64.82
loop_
_atom_site_label
_atom_site_type_symbol
_atom_site_fract_x
_atom_site_fract_y
_atom_site_fract_z
_atom_site_occupancy
Mo1 Mo 0.0000 0.0000 0.0000 1
Mo2 Mo 0.5000 0.0000 0.0000 1
H1 H 0.0617 0.7539 0.5171 1
H2 H 0.2735 0.1322 0.6219 1
H3 H 0.7265 0.8678 0.3781 1
H4 H 0.9383 0.2461 0.4829 1
Br1 Br 0.1149 0.7054 0.1117 1
Br2 Br 0.1717 0.0809 0.1567 1
Br3 Br 0.2462 0.2573 0.5065 1
Br4 Br 0.2536 0.7435 0.5245 1
Br5 Br 0.3302 0.9163 0.8412 1
Br6 Br 0.3863 0.2937 0.8883 1
Br7 Br 0.6137 0.7063 0.1117 1
Br8 Br 0.6698 0.0837 0.1588 1
Br9 Br 0.7464 0.2565 0.4755 1
Br10 Br 0.7538 0.7427 0.4935 1
Br11 Br 0.8283 0.9191 0.8433 1
Br12 Br 0.8851 0.2946 0.8883 1
```


VASP calculation (PBE-GGA) on a relaxed MoH2Br crystal.

Calculated values
density = 6.29 g/cm³
symmetry = Fm-3m (225)
relative energy among the computed polymorphs = 708 meV per atom

```
data_MoH2Br
_chemical_formula_sum 'Mo4 H8 Br4'
_space_group_name_H-M_alt 'P 1'
_space_group_IT_number 1
_space_group_name_Hall 'P 1'
_cell_length_a 5.7278
_cell_length_b 5.7278
_cell_length_c 5.7278
_cell_angle_alpha 90.00
_cell_angle_beta 90.00
_cell_angle_gamma 90.00
loop_
_atom_site_label
_atom_site_type_symbol
_atom_site_fract_x
_atom_site_fract_y
_atom_site_fract_z
_atom_site_occupancy
Mo1 Mo 0.0000 0.0000 0.0000 1
Mo2 Mo 0.0000 0.5000 0.5000 1
Mo3 Mo 0.5000 0.0000 0.5000 1
Mo4 Mo 0.5000 0.5000 0.0000 1
H1 H 0.2500 0.2500 0.2500 1
H2 H 0.2500 0.2500 0.7500 1
H3 H 0.2500 0.7500 0.2500 1
H4 H 0.2500 0.7500 0.7500 1
H5 H 0.7500 0.2500 0.2500 1
H6 H 0.7500 0.2500 0.7500 1
H7 H 0.7500 0.7500 0.2500 1
H8 H 0.7500 0.7500 0.7500 1
Br1 Br 0.0000 0.0000 0.5000 1
Br2 Br 0.0000 0.5000 0.0000 1
Br3 Br 0.5000 0.0000 0.0000 1
Br4 Br 0.5000 0.5000 0.5000 1
```